a | # Ba2Al2Au

A relaxed Ba2Al2Au crystal (PBE-GGA, Alexandria via LeMat-Bulk).

V in Å³ per atom: 31.2
Total magnetization in μB per atom: 0.000

```
data_Ba2Al2Au
_chemical_formula_sum 'Ba4 Al4 Au2'
_space_group_name_H-M_alt 'P 1'
_space_group_IT_number 1
_space_group_name_Hall 'P 1'
_cell_length_a 6.9298
_cell_length_b 6.9298
_cell_length_c 7.6831
_cell_angle_alpha 108.94
_cell_angle_beta 108.94
_cell_angle_gamma 66.71
loop_
_atom_site_label
_atom_site_type_symbol
_atom_site_fract_x
_atom_site_fract_y
_atom_site_fract_z
_atom_site_occupancy
Ba1 Ba 0.1749 0.2004 0.4771 1
Ba2 Ba 0.2004 0.1749 0.9771 1
Ba3 Ba 0.7996 0.8251 0.0229 1
Ba4 Ba 0.8251 0.7996 0.5229 1
Al1 Al 0.3035 0.6019 0.8889 1
Al2 Al 0.3981 0.6965 0.6111 1
Al3 Al 0.6019 0.3035 0.3889 1
Al4 Al 0.6965 0.3981 0.1111 1
Au1 Au 0.3451 0.6549 0.2500 1
Au2 Au 0.6549 0.3451 0.7500 1
```


b | # Ba2Al2Au

A relaxed Ba2Al2Au crystal (PBE-GGA, Alexandria via LeMat-Bulk).

V in Å³ per atom: 33.8
Total magnetization in μB per atom: 0.000

```
data_Ba2Al2Au
_chemical_formula_sum 'Ba2 Al2 Au1'
_space_group_name_H-M_alt 'P 1'
_space_group_IT_number 1
_space_group_name_Hall 'P 1'
_cell_length_a 6.0486
_cell_length_b 6.0486
_cell_length_c 6.0486
_cell_angle_alpha 112.71
_cell_angle_beta 112.71
_cell_angle_gamma 103.17
loop_
_atom_site_label
_atom_site_type_symbol
_atom_site_fract_x
_atom_site_fract_y
_atom_site_fract_z
_atom_site_occupancy
Ba1 Ba 0.2500 0.7500 0.5000 1
Ba2 Ba 0.7500 0.2500 0.5000 1
Al1 Al 0.1627 0.1627 0.0000 1
Al2 Al 0.8373 0.8373 0.0000 1
Au1 Au 0.5000 0.5000 0.0000 1
```


c | # Ba2Al2Au

A relaxed Ba2Al2Au crystal (PBE-GGA, Alexandria via LeMat-Bulk).

V in Å³ per atom: 28.5
Total magnetization in μB per atom: 0.000

```
data_Ba2Al2Au
_chemical_formula_sum 'Ba4 Al4 Au2'
_space_group_name_H-M_alt 'P 1'
_space_group_IT_number 1
_space_group_name_Hall 'P 1'
_cell_length_a 7.1164
_cell_length_b 7.1164
_cell_length_c 5.6252
_cell_angle_alpha 90.00
_cell_angle_beta 90.00
_cell_angle_gamma 90.00
loop_
_atom_site_label
_atom_site_type_symbol
_atom_site_fract_x
_atom_site_fract_y
_atom_site_fract_z
_atom_site_occupancy
Ba1 Ba 0.1769 0.3231 0.0000 1
Ba2 Ba 0.3231 0.8231 0.0000 1
Ba3 Ba 0.6769 0.1769 0.0000 1
Ba4 Ba 0.8231 0.6769 0.0000 1
Al1 Al 0.1349 0.6349 0.5000 1
Al2 Al 0.3651 0.1349 0.5000 1
Al3 Al 0.6349 0.8651 0.5000 1
Al4 Al 0.8651 0.3651 0.5000 1
Au1 Au 0.0000 0.0000 0.5000 1
Au2 Au 0.5000 0.5000 0.5000 1
```


Quick look at relative energies in kJ/mol of atoms: a 0.0; b 24.2; c 16.0.


a | # Ba2AlAu2

A relaxed Ba2AlAu2 crystal (PBE-GGA, Alexandria via LeMat-Bulk).

V in Å³ per atom: 33.2
Total magnetization in μB per atom: 0.000

```
data_Ba2AlAu2
_chemical_formula_sum 'Ba4 Al2 Au4'
_space_group_name_H-M_alt 'P 1'
_space_group_IT_number 1
_space_group_name_Hall 'P 1'
_cell_length_a 8.2843
_cell_length_b 8.2843
_cell_length_c 8.2843
_cell_angle_alpha 128.57
_cell_angle_beta 74.61
_cell_angle_gamma 129.94
loop_
_atom_site_label
_atom_site_type_symbol
_atom_site_fract_x
_atom_site_fract_y
_atom_site_fract_z
_atom_site_occupancy
Ba1 Ba 0.1468 0.1696 0.3165 1
Ba2 Ba 0.3532 0.6696 0.0228 1
Ba3 Ba 0.6468 0.3304 0.9772 1
Ba4 Ba 0.8532 0.8304 0.6835 1
Al1 Al 0.2500 0.7500 0.5000 1
Al2 Al 0.7500 0.2500 0.5000 1
Au1 Au 0.1005 0.6942 0.7946 1
Au2 Au 0.3995 0.1942 0.5937 1
Au3 Au 0.6005 0.8058 0.4063 1
Au4 Au 0.8995 0.3058 0.2054 1
```


b | # Ba2AlAu2

A relaxed Ba2AlAu2 crystal (PBE-GGA, Alexandria via LeMat-Bulk).

V in Å³ per atom: 31.2
Total magnetization in μB per atom: 0.000

```
data_Ba2AlAu2
_chemical_formula_sum 'Ba4 Al2 Au4'
_space_group_name_H-M_alt 'P 1'
_space_group_IT_number 1
_space_group_name_Hall 'P 1'
_cell_length_a 6.9130
_cell_length_b 6.9130
_cell_length_c 12.0375
_cell_angle_alpha 117.84
_cell_angle_beta 117.84
_cell_angle_gamma 38.61
loop_
_atom_site_label
_atom_site_type_symbol
_atom_site_fract_x
_atom_site_fract_y
_atom_site_fract_z
_atom_site_occupancy
Ba1 Ba 0.0093 0.0093 0.1628 1
Ba2 Ba 0.1778 0.1778 0.6061 1
Ba3 Ba 0.8222 0.8222 0.3939 1
Ba4 Ba 0.9907 0.9907 0.8372 1
Al1 Al 0.2822 0.2822 0.1281 1
Al2 Al 0.7178 0.7178 0.8719 1
Au1 Au 0.3244 0.3244 0.9305 1
Au2 Au 0.4950 0.4950 0.3626 1
Au3 Au 0.5050 0.5050 0.6374 1
Au4 Au 0.6756 0.6756 0.0695 1
```


c | # Ba2AlAu2

A relaxed Ba2AlAu2 crystal (PBE-GGA, Alexandria via LeMat-Bulk).

V in Å³ per atom: 31.0
Total magnetization in μB per atom: 0.000

```
data_Ba2AlAu2
_chemical_formula_sum 'Ba4 Al2 Au4'
_space_group_name_H-M_alt 'P 1'
_space_group_IT_number 1
_space_group_name_Hall 'P 1'
_cell_length_a 8.2353
_cell_length_b 8.2353
_cell_length_c 4.5763
_cell_angle_alpha 90.00
_cell_angle_beta 90.00
_cell_angle_gamma 90.00
loop_
_atom_site_label
_atom_site_type_symbol
_atom_site_fract_x
_atom_site_fract_y
_atom_site_fract_z
_atom_site_occupancy
Ba1 Ba 0.1763 0.3237 0.0000 1
Ba2 Ba 0.3237 0.8237 0.0000 1
Ba3 Ba 0.6763 0.1763 0.0000 1
Ba4 Ba 0.8237 0.6763 0.0000 1
Al1 Al 0.0000 0.0000 0.5000 1
Al2 Al 0.5000 0.5000 0.5000 1
Au1 Au 0.1290 0.6290 0.5000 1
Au2 Au 0.3710 0.1290 0.5000 1
Au3 Au 0.6290 0.8710 0.5000 1
Au4 Au 0.8710 0.3710 0.5000 1
```


Quick look at relative energies in kJ/mol of atoms: a 2.5; b 0.0; c 13.6.


a | # BaAlCdAu2

A relaxed BaAlCdAu2 crystal (PBE-GGA, Alexandria via LeMat-Bulk).

V in Å³ per atom: 25.3
Total magnetization in μB per atom: 0.000

```
data_BaAlCdAu2
_chemical_formula_sum 'Ba1 Al1 Cd1 Au2'
_space_group_name_H-M_alt 'P 1'
_space_group_IT_number 1
_space_group_name_Hall 'P 1'
_cell_length_a 6.8573
_cell_length_b 6.8573
_cell_length_c 6.8573
_cell_angle_alpha 141.06
_cell_angle_beta 141.06
_cell_angle_gamma 56.25
loop_
_atom_site_label
_atom_site_type_symbol
_atom_site_fract_x
_atom_site_fract_y
_atom_site_fract_z
_atom_site_occupancy
Ba1 Ba 0.0000 0.0000 0.0000 1
Al1 Al 0.7500 0.2500 0.5000 1
Cd1 Cd 0.2500 0.7500 0.5000 1
Au1 Au 0.3793 0.3793 0.0000 1
Au2 Au 0.6207 0.6207 0.0000 1
```


b | # BaAlCdAu2

A relaxed BaAlCdAu2 crystal (PBE-GGA, Alexandria via LeMat-Bulk).

V in Å³ per atom: 27.2
Total magnetization in μB per atom: 0.000

```
data_BaAlCdAu2
_chemical_formula_sum 'Ba1 Al1 Cd1 Au2'
_space_group_name_H-M_alt 'P 1'
_space_group_IT_number 1
_space_group_name_Hall 'P 1'
_cell_length_a 5.0961
_cell_length_b 5.0961
_cell_length_c 5.2354
_cell_angle_alpha 90.00
_cell_angle_beta 90.00
_cell_angle_gamma 90.00
loop_
_atom_site_label
_atom_site_type_symbol
_atom_site_fract_x
_atom_site_fract_y
_atom_site_fract_z
_atom_site_occupancy
Ba1 Ba 0.0000 0.0000 0.0000 1
Al1 Al 0.5000 0.5000 0.5000 1
Cd1 Cd 0.5000 0.5000 0.0000 1
Au1 Au 0.0000 0.5000 0.5000 1
Au2 Au 0.5000 0.0000 0.5000 1
```


Quick look at relative energies in kJ/mol of atoms: a 0.0; b 14.4.


a | # Ba2AlRuAu

A relaxed Ba2AlRuAu crystal (PBE-GGA, Alexandria via LeMat-Bulk).

V in Å³ per atom: 32.8
Total magnetization in μB per atom: 0.000

```
data_Ba2AlRuAu
_chemical_formula_sum 'Ba2 Al1 Ru1 Au1'
_space_group_name_H-M_alt 'P 1'
_space_group_IT_number 1
_space_group_name_Hall 'P 1'
_cell_length_a 5.8654
_cell_length_b 5.8654
_cell_length_c 4.7696
_cell_angle_alpha 90.00
_cell_angle_beta 90.00
_cell_angle_gamma 90.00
loop_
_atom_site_label
_atom_site_type_symbol
_atom_site_fract_x
_atom_site_fract_y
_atom_site_fract_z
_atom_site_occupancy
Ba1 Ba 0.0000 0.5000 0.0000 1
Ba2 Ba 0.5000 0.0000 0.0000 1
Al1 Al 0.0000 0.0000 0.5000 1
Ru1 Ru 0.0000 0.0000 0.0000 1
Au1 Au 0.5000 0.5000 0.5000 1
```


b | # Ba2AlRuAu

A relaxed Ba2AlRuAu crystal (PBE-GGA, Alexandria via LeMat-Bulk).

V in Å³ per atom: 38.5
Total magnetization in μB per atom: 0.210

```
data_Ba2AlRuAu
_chemical_formula_sum 'Ba2 Al1 Ru1 Au1'
_space_group_name_H-M_alt 'P 1'
_space_group_IT_number 1
_space_group_name_Hall 'P 1'
_cell_length_a 6.2002
_cell_length_b 6.2002
_cell_length_c 5.0043
_cell_angle_alpha 90.00
_cell_angle_beta 90.00
_cell_angle_gamma 90.00
loop_
_atom_site_label
_atom_site_type_symbol
_atom_site_fract_x
_atom_site_fract_y
_atom_site_fract_z
_atom_site_occupancy
Ba1 Ba 0.0000 0.5000 0.0000 1
Ba2 Ba 0.5000 0.0000 0.0000 1
Al1 Al 0.0000 0.0000 0.5000 1
Ru1 Ru 0.5000 0.5000 0.5000 1
Au1 Au 0.5000 0.5000 0.0000 1
```


Quick look at relative energies in kJ/mol of atoms: a 0.0; b 58.6.